HoNiO3 | the Alexandria database | PBE+U | relaxed; M_tot = 1.0 μB/f.u.; uncorrected energy = -131.90 eV per cell; DOS at the Fermi energy = 0.8 states/eV/f.u.; symmetry = Pnma (62)
1.0
5.1817 0.0000 0.0000
0.0000 5.6551 0.0000
0.0000 0.0000 7.4077
O Ho Ni
12 4 4
Direct
0.1963 0.1878 0.5530 O
0.8037 0.8122 0.0530 O
0.8912 0.5328 0.7500 O
0.6963 0.3122 0.0530 O
0.3037 0.6878 0.9470 O
0.3037 0.6878 0.5530 O
0.1088 0.4672 0.2500 O
0.6088 0.0328 0.7500 O
0.3912 0.9672 0.2500 O
0.8037 0.8122 0.4470 O
0.1963 0.1878 0.9470 O
0.6963 0.3122 0.4470 O
0.9772 0.0821 0.2500 Ho
0.0228 0.9179 0.7500 Ho
0.4772 0.4179 0.7500 Ho
0.5228 0.5821 0.2500 Ho
0.0000 0.5000 0.5000 Ni
0.0000 0.5000 0.0000 Ni
0.5000 0.0000 0.0000 Ni
0.5000 0.0000 0.5000 Ni